## AgRhNO2 (PBE)

Data for a relaxed structure of AgRhNO2.

Lattice parameters (Å, degrees): 4.091 4.091 3.982 90.00 90.00 90.00
Fractional positions:
1 O 0.500 0.000 0.000
2 O 0.000 0.500 0.000
3 Ag 0.000 0.000 0.000
4 N 0.000 0.000 0.500
5 Rh 0.500 0.500 0.500

Calculated values
Final energy (eV per atom): -4.192
M_tot (μB per cell): 4.42
Density of states at the Fermi level (states/eV/f.u.): 4.65


## AgRhNO2 (PBE)

Data for a relaxed structure of AgRhNO2.

Lattice parameters (Å, degrees): 4.074 4.074 3.713 90.00 90.00 90.00
Fractional positions:
1 N 0.000 0.000 0.500
2 O 0.000 0.500 0.000
3 O 0.500 0.000 0.000
4 Ag 0.500 0.500 0.500
5 Rh 0.000 0.000 0.000

Calculated values
Final energy (eV per atom): -5.209
M_tot (μB per cell): 1.20
Density of states at the Fermi level (states/eV/f.u.): 4.31


## AgRuN2O (PBE)

Data for a relaxed structure of AgRuN2O.

Lattice parameters (Å, degrees): 3.803 3.803 4.173 90.00 90.00 90.00
Fractional positions:
1 N 0.500 0.000 0.000
2 N 0.000 0.500 0.000
3 Ag 0.500 0.500 0.500
4 O 0.000 0.000 0.500
5 Ru 0.000 0.000 0.000

Calculated values
Final energy (eV per atom): -5.985
M_tot (μB per cell): 0.01
Density of states at the Fermi level (states/eV/f.u.): 3.95


## AgRuNO2 (PBE)

Data for a relaxed structure of AgRuNO2.

Lattice parameters (Å, degrees): 3.955 3.955 3.794 90.00 90.00 90.00
Fractional positions:
1 O 0.000 0.500 0.000
2 O 0.500 0.000 0.000
3 Ag 0.500 0.500 0.500
4 N 0.000 0.000 0.500
5 Ru 0.000 0.000 0.000

Calculated values
Final energy (eV per atom): -5.914
M_tot (μB per cell): 0.05
Density of states at the Fermi level (states/eV/f.u.): 4.56


## AgRuN2O (PBE)

Data for a relaxed structure of AgRuN2O.

Lattice parameters (Å, degrees): 4.025 4.025 3.955 90.00 90.00 90.00
Fractional positions:
1 Ru 0.500 0.500 0.500
2 O 0.000 0.000 0.500
3 N 0.500 0.000 0.000
4 N 0.000 0.500 0.000
5 Ag 0.000 0.000 0.000

Calculated values
Final energy (eV per atom): -4.547
M_tot (μB per cell): 3.25
Density of states at the Fermi level (states/eV/f.u.): 5.09


## AgRuNO2 (PBE)

Data for a relaxed structure of AgRuNO2.

Lattice parameters (Å, degrees): 4.024 4.024 4.025 90.00 90.00 90.00
Fractional positions:
1 O 0.000 0.500 0.000
2 O 0.500 0.000 0.000
3 Ru 0.500 0.500 0.500
4 Ag 0.000 0.000 0.000
5 N 0.000 0.000 0.500

Calculated values
Final energy (eV per atom): -4.544
M_tot (μB per cell): 4.75
Density of states at the Fermi level (states/eV/f.u.): 3.32


## Ag2SN2O2 (PBE)

Data for a relaxed structure of Ag2SN2O2.

Lattice parameters (Å, degrees): 5.526 7.051 12.096 83.45 90.00 90.00
Fractional positions:
1 S 0.552 0.721 0.854
2 S 0.052 0.279 0.646
3 S 0.948 0.721 0.354
4 S 0.448 0.279 0.146
5 Ag 0.791 0.729 0.095
6 Ag 0.709 0.729 0.595
7 Ag 0.209 0.271 0.905
8 Ag 0.503 0.113 0.671
9 Ag 0.997 0.113 0.171
10 Ag 0.497 0.887 0.329
11 Ag 0.003 0.887 0.829
12 Ag 0.291 0.271 0.405
13 O 0.862 0.173 0.588
14 O 0.638 0.173 0.088
15 O 0.362 0.827 0.912
16 O 0.138 0.827 0.412
17 O 0.451 0.549 0.815
18 O 0.951 0.451 0.685
19 O 0.049 0.549 0.315
20 O 0.549 0.451 0.185
21 N 0.209 0.315 0.075
22 N 0.709 0.685 0.425
23 N 0.334 0.142 0.252
24 N 0.166 0.142 0.752
25 N 0.834 0.858 0.248
26 N 0.666 0.858 0.748
27 N 0.791 0.685 0.925
28 N 0.291 0.315 0.575

Calculated values
Final energy (eV per atom): -5.113
M_tot (μB per cell): 0.00


## AgSbNO2 (PBE)

Data for a relaxed structure of AgSbNO2.

Lattice parameters (Å, degrees): 3.981 3.981 4.122 90.00 90.00 90.00
Fractional positions:
1 O 0.500 0.000 0.000
2 O 0.000 0.500 0.000
3 N 0.000 0.000 0.500
4 Ag 0.500 0.500 0.500
5 Sb 0.000 0.000 0.000

Calculated values
Final energy (eV per atom): -4.995
M_tot (μB per cell): 1.07
Density of states at the Fermi level (states/eV/f.u.): 1.34


## AgSbNO2 (PBE)

Data for a relaxed structure of AgSbNO2.

Lattice parameters (Å, degrees): 4.027 4.027 4.124 90.00 90.00 90.00
Fractional positions:
1 Sb 0.500 0.500 0.500
2 O 0.000 0.500 0.000
3 O 0.500 0.000 0.000
4 N 0.000 0.000 0.500
5 Ag 0.000 0.000 0.000

Calculated values
Final energy (eV per atom): -4.282
M_tot (μB per cell): 0.00
Density of states at the Fermi level (states/eV/f.u.): 2.31


## ScAgNO2 (PBE)

Data for a relaxed structure of ScAgNO2.

Lattice parameters (Å, degrees): 3.960 3.960 4.032 90.00 90.00 90.00
Fractional positions:
1 O 0.500 0.000 0.000
2 O 0.000 0.500 0.000
3 Ag 0.000 0.000 0.000
4 N 0.000 0.000 0.500
5 Sc 0.500 0.500 0.500

Calculated values
Final energy (eV per atom): -5.481
M_tot (μB per cell): 0.00
Density of states at the Fermi level (states/eV/f.u.): 2.20


## ScAgNO2 (PBE)

Data for a relaxed structure of ScAgNO2.

Lattice parameters (Å, degrees): 4.085 4.085 4.359 90.00 90.00 90.00
Fractional positions:
1 Sc 0.000 0.000 0.000
2 O 0.500 0.000 0.000
3 O 0.000 0.500 0.000
4 N 0.000 0.000 0.500
5 Ag 0.500 0.500 0.500

Calculated values
Final energy (eV per atom): -5.959
M_tot (μB per cell): 3.00
Density of states at the Fermi level (states/eV/f.u.): 1.89


## AgSeN2O (PBE)

Data for a relaxed structure of AgSeN2O.

Lattice parameters (Å, degrees): 4.126 4.126 4.044 90.00 90.00 90.00
Fractional positions:
1 O 0.000 0.000 0.500
2 Se 0.500 0.500 0.500
3 N 0.500 0.000 0.000
4 N 0.000 0.500 0.000
5 Ag 0.000 0.000 0.000

Calculated values
Final energy (eV per atom): -3.554
M_tot (μB per cell): 1.45
Density of states at the Fermi level (states/eV/f.u.): 3.74


- Which of these has the highest M_tot?
  number 6